Compound: Fe3P
Source: the Open Quantum Materials Database
Functional: PBE
Structure: relaxed

```
8
Lattice="-0.854 4.468 -1.898 -2.843 -1.715 3.643 2.558 1.672 2.783" Properties=species:S:1:pos:R:3 pbc="T T T"
Fe -2.290 1.954 2.467
Fe 1.151 2.471 2.062
P -0.262 1.600 3.883
Fe -0.676 3.832 2.924
P -0.878 2.825 0.645
Fe -1.868 -0.254 3.405
Fe -0.463 0.593 1.604
Fe 0.729 4.679 1.123
```

Computed properties:
- Offset from the most stable computed form: 2.655 kcal/mol of atoms

=====

Compound: Cd2GeO4
Source: the Open Quantum Materials Database
Functional: PBE
Structure: relaxed

```
28
Lattice="6.397 0.000 0.000 0.000 6.397 0.000 0.000 0.000 8.628" Properties=species:S:1:pos:R:3 pbc="T T T"
O 3.310 4.559 2.384
Cd 1.564 1.564 3.236
Cd 0.000 4.706 4.314
Cd 4.833 4.833 7.550
Ge 1.696 3.198 6.471
O 4.559 3.310 4.087
O 3.086 1.837 6.698
O 0.387 1.836 6.341
O 6.009 1.836 2.287
O 1.836 6.009 4.184
Ge 3.198 4.701 4.314
Cd 0.000 1.691 0.000
O 1.837 3.310 4.541
O 0.387 4.561 6.602
O 3.310 1.837 1.930
Ge 3.198 1.696 0.000
O 4.559 3.086 0.227
O 4.561 0.387 8.498
O 6.009 4.561 2.027
O 3.086 4.559 6.244
O 1.836 0.387 0.130
Cd 1.564 4.833 1.079
Cd 4.833 1.564 5.393
O 1.837 3.086 8.401
Cd 4.706 0.000 2.157
Cd 1.691 0.000 6.471
Ge 4.701 3.198 2.157
O 4.561 6.009 4.445
```

Computed properties:
- Offset from the most stable computed form: 1.121 kcal/mol of atoms

=====

Compound: PaTe
Source: the Open Quantum Materials Database
Functional: PBE
Structure: relaxed

```
2
Lattice="0.000 3.487 3.487 3.487 0.000 3.487 3.487 3.487 0.000" Properties=species:S:1:pos:R:3 pbc="T T T"
Te 1.744 1.744 1.744
Pa 0.000 0.000 0.000
```

=====

Compound: Ni2Mo8C3N3
Source: the Open Quantum Materials Database
Functional: PBE
Structure: relaxed

```
16
Lattice="-2.905 0.716 -0.660 1.469 -2.119 -1.654 -7.209 -16.113 14.246" Properties=species:S:1:pos:R:3 pbc="T T T"
N -0.800 -2.987 0.280
C -2.762 -7.374 4.159
N -7.845 -14.530 11.653
Ni -3.241 -4.239 2.554
Mo -4.019 -10.183 6.642
C -5.882 -10.143 7.774
C -3.604 -8.057 7.123
Mo -4.765 -10.650 9.416
Mo -1.172 -2.620 2.317
Mo -2.444 -5.463 4.830
Mo -6.795 -16.388 12.128
Mo -6.036 -13.493 11.929
Mo -4.625 -7.334 5.290
Mo -1.849 -1.129 -0.196
Ni -5.404 -13.277 9.378
N 0.000 0.000 0.000
```

=====

Compound: Dy2Zr2Ni
Source: the Open Quantum Materials Database
Functional: PBE
Structure: relaxed

```
10
Lattice="-2.577 -3.492 -2.012 4.379 -0.928 1.688 -4.248 -2.442 9.678" Properties=species:S:1:pos:R:3 pbc="T T T"
Ni -3.186 -1.831 7.258
Dy -2.784 -4.089 4.976
Dy 1.658 -2.013 1.370
Ni -1.062 -0.610 2.419
Zr -1.126 -3.614 7.713
Dy 0.338 -2.772 4.378
Dy -4.104 -4.848 7.983
Zr -2.124 -1.221 4.839
Zr -1.321 -3.247 1.641
Zr 0.000 0.000 0.000
```

=====

Compound: Dy2Bi
Source: the Open Quantum Materials Database
Functional: PBE
Structure: relaxed

```
6
Lattice="4.864 2.808 7.935 -4.864 2.808 7.935 0.000 -5.617 7.935" Properties=species:S:1:pos:R:3 pbc="T T T"
Dy -2.432 1.404 12.894
Bi 0.000 0.000 11.903
Dy 0.000 0.000 8.927
Dy 2.432 1.404 12.894
Dy 0.000 -2.808 12.894
Bi 0.000 0.000 5.950
```

=====

Compound: LiAgGePd
Source: the Open Quantum Materials Database
Functional: PBE
Structure: relaxed

```
4
Lattice="0.000 3.146 3.146 3.146 0.000 3.146 3.146 3.146 0.000" Properties=species:S:1:pos:R:3 pbc="T T T"
Ag 0.000 0.000 0.000
Pd 1.573 1.573 1.573
Ge 3.146 3.146 3.146
Li 4.719 4.719 4.719
```

Computed properties:
- Offset from the most stable computed form: 1.011 kcal/mol of atoms

=====

Compound: NdGePt2
Source: the Open Quantum Materials Database
Functional: PBE
Structure: relaxed

```
8
Lattice="-4.715 -1.694 -2.637 0.634 -3.738 1.268 -3.520 1.504 6.194" Properties=species:S:1:pos:R:3 pbc="T T T"
Nd -1.343 -0.911 1.137
Pt -5.351 -1.560 1.228
Pt -4.358 -2.013 5.698
Ge -4.053 -0.564 3.514
Pt -3.242 -1.915 -0.873
Pt -2.249 -2.368 3.598
Ge -3.548 -3.364 1.311
Nd -6.257 -3.017 3.689
```

=====

Compound: Dy2TmMg3CdGa2
Source: the Open Quantum Materials Database
Functional: PBE
Structure: relaxed

```
9
Lattice="-1.578 0.066 4.165 1.401 -7.165 0.644 5.134 4.885 1.868" Properties=species:S:1:pos:R:3 pbc="T T T"
Mg 0.838 -0.534 2.708
Ga 3.102 0.888 3.544
Dy 2.222 2.108 0.809
Dy 0.610 -3.096 0.280
Mg 5.396 -0.462 4.434
Ga 1.865 -3.105 3.138
Mg 4.467 -3.463 4.130
Tm 3.712 -1.295 1.427
Cd 6.518 -2.273 2.506
```

=====

Compound: LuTcPt2
Source: the Open Quantum Materials Database
Functional: PBE
Structure: relaxed

```
4
Lattice="0.000 3.236 3.236 3.236 0.000 3.236 3.236 3.236 0.000" Properties=species:S:1:pos:R:3 pbc="T T T"
Pt 1.618 1.618 1.618
Lu 4.854 4.854 4.854
Tc 0.000 0.000 0.000
Pt 3.236 3.236 3.236
```

=====

Compound: SrZrGe2
Source: the Open Quantum Materials Database
Functional: PBE
Structure: relaxed

```
4
Lattice="-4.725 1.270 1.332 -2.689 3.169 -2.905 -3.942 -1.739 -2.674" Properties=species:S:1:pos:R:3 pbc="T T T"
Sr -5.678 1.350 -2.123
Ge -8.517 2.025 -3.185
Ge 0.000 0.000 0.000
Zr -2.839 0.675 -1.062
```

=====

Compound: FeCuOsPb
Source: the Open Quantum Materials Database
Functional: PBE
Structure: relaxed

```
4
Lattice="1.205 -4.209 0.895 -2.571 -3.395 -1.353 1.387 -2.676 -3.299" Properties=species:S:1:pos:R:3 pbc="T T T"
Pb 0.000 0.000 0.000
Fe 0.010 -5.140 -1.879
Os 0.005 -2.570 -0.939
Cu 0.016 -7.711 -2.818
```

Computed properties:
- Offset from the most stable computed form: 0.000 kcal/mol of atoms

=====

Compound: Th2Ga3Ir4
Source: the Open Quantum Materials Database
Functional: PBE
Structure: relaxed

```
18
Lattice="2.887 -7.887 0.000 2.887 7.887 0.000 0.000 0.000 7.265" Properties=species:S:1:pos:R:3 pbc="T T T"
Ir 2.887 -5.115 3.847
Ga 4.330 -3.620 5.449
Ir 2.887 5.115 3.418
Ir 4.330 1.062 1.816
Ga 1.443 -3.620 5.449
Ga 2.887 0.000 0.000
Ir 1.443 1.062 1.816
Ga 1.443 3.620 1.816
Th 2.887 -1.709 2.987
Ga 4.330 3.620 1.816
Th 2.887 -6.177 6.620
Ir 2.887 -2.772 0.215
Ir 4.330 -1.062 5.449
Ir 2.887 2.772 7.050
Ga 0.000 0.000 3.633
Th 2.887 6.177 0.645
Ir 1.443 -1.062 5.449
Th 2.887 1.709 4.278
```

=====

Compound: SmTm2Ag3
Source: the Open Quantum Materials Database
Functional: PBE
Structure: relaxed

```
6
Lattice="3.602 0.000 0.000 0.000 3.602 0.000 0.000 0.000 10.976" Properties=species:S:1:pos:R:3 pbc="T T T"
Ag 1.801 1.801 0.000
Tm 0.000 0.000 9.196
Ag 1.801 1.801 3.509
Sm 0.000 0.000 5.488
Tm 0.000 0.000 1.780
Ag 1.801 1.801 7.467
```

=====

Compound: GdCuSnSe3
Source: the Open Quantum Materials Database
Functional: PBE
Structure: relaxed

```
24
Lattice="-6.798 -1.376 4.564 1.811 -3.419 1.666 6.166 9.072 11.920" Properties=species:S:1:pos:R:3 pbc="T T T"
Se 0.928 1.447 4.624
Sn 1.254 5.369 12.319
Se 4.042 4.096 12.003
Sn 4.349 5.609 9.449
Se -4.724 -3.043 6.876
Gd 5.578 5.816 13.863
Se 0.573 0.437 8.262
Cu 0.771 4.131 15.629
Se -1.777 -0.835 2.880
Sn -0.076 -1.092 5.831
Cu 2.680 2.625 10.465
Se 2.954 5.112 15.270
Gd 1.611 2.993 7.056
Se 0.605 3.840 9.887
Se -2.864 0.181 6.147
Cu 0.407 0.146 2.521
Se 4.013 2.356 8.463
Gd -4.401 -1.539 4.287
Sn -3.171 -1.332 8.701
Se -2.835 1.921 9.687
Se 0.250 2.830 13.526
Cu -1.502 1.651 7.685
Gd -0.433 1.283 11.094
Se 5.902 7.320 11.274
```

Computed properties:
- Offset from the most stable computed form: 0.682 kcal/mol of atoms

=====

Compound: CuAg4
Source: the Open Quantum Materials Database
Functional: PBE
Structure: relaxed

```
10
Lattice="-3.203 -1.580 6.069 -2.323 -0.886 -1.457 4.040 -7.127 -2.109" Properties=species:S:1:pos:R:3 pbc="T T T"
Ag 1.948 -4.980 -1.503
Ag 1.517 -6.993 0.408
Ag -0.842 -4.486 2.647
Ag -3.003 -2.599 2.095
Ag -0.483 -2.253 0.715
Cu 1.681 -7.636 -2.311
Ag -0.643 -5.106 -0.143
Ag -3.434 -4.612 4.006
Ag -1.003 -7.339 1.788
Cu -3.167 -1.957 4.815
```

Computed properties:
- Offset from the most stable computed form: 0.561 kcal/mol of atoms

=====

Compound: HoI3
Source: the Open Quantum Materials Database
Functional: PBE
Structure: relaxed

```
16
Lattice="10.592 0.000 0.000 0.000 6.436 0.000 -3.758 0.000 12.172" Properties=species:S:1:pos:R:3 pbc="T T T"
I 2.761 4.958 2.674
I -1.427 4.932 4.621
Ho 6.732 0.003 5.473
I 4.913 4.701 6.714
Ho 1.981 3.221 0.613
Ho 4.854 3.215 11.559
I 0.043 1.483 11.544
Ho 0.102 6.433 6.699
I 0.882 4.696 8.760
I -0.452 1.714 1.465
I 5.952 1.740 3.412
I -2.331 1.505 7.550
I 4.074 1.478 9.497
I 1.921 1.735 5.458
I -3.306 4.723 10.707
I 6.792 4.953 0.628
```

=====

Compound: GdZnInSe3
Source: the Open Quantum Materials Database
Functional: PBE
Structure: relaxed

```
12
Lattice="2.056 -7.326 0.000 2.056 7.326 0.000 0.000 0.000 10.998" Properties=species:S:1:pos:R:3 pbc="T T T"
Se 2.056 -1.918 4.785
Zn 2.056 0.537 8.248
In 2.056 -3.695 8.248
Gd 0.000 0.000 0.000
Se 2.056 1.918 10.284
Se 2.056 6.332 8.248
In 2.056 3.695 2.749
Gd 0.000 0.000 5.499
Se 2.056 -1.918 0.714
Se 2.056 -6.332 2.749
Zn 2.056 -0.537 2.749
Se 2.056 1.918 6.213
```

Computed properties:
- Offset from the most stable computed form: 0.019 kcal/mol of atoms

=====

Compound: GdSb2
Source: the Open Quantum Materials Database
Functional: PBE
Structure: relaxed

```
6
Lattice="0.641 -5.601 -2.720 -3.753 -4.729 1.652 -4.368 -2.065 -3.978" Properties=species:S:1:pos:R:3 pbc="T T T"
Sb -4.675 -7.747 -3.154
Gd -1.870 -3.099 -1.262
Gd 0.000 0.000 0.000
Sb -4.996 -4.947 -1.794
Sb -2.491 -6.714 -1.165
Sb -2.799 -5.382 -3.980
```

=====

Compound: GdDy2Sn4Au4
Source: the Open Quantum Materials Database
Functional: PBE
Structure: relaxed

```
11
Lattice="-0.726 6.140 6.341 -7.460 1.079 4.649 6.824 -5.054 -2.511" Properties=species:S:1:pos:R:3 pbc="T T T"
Dy -3.356 0.692 5.148
Au -3.669 5.149 8.483
Sn -1.757 1.549 2.358
Gd 0.000 0.000 0.000
Au -0.906 2.713 4.775
Sn -2.896 3.822 6.247
Sn -6.430 5.670 8.631
Au 2.307 -2.984 -0.004
Dy 1.994 1.473 3.331
Sn 1.534 -1.658 2.232
Au -0.455 -0.548 3.704
```

=====

Number 1: final energy -7.734 eV/atom. Number 2: final energy -5.071 eV/atom. Number 3: final energy -6.010 eV/atom. Number 4: final energy -9.284 eV/atom. Number 5: final energy -6.210 eV/atom. Number 6: final energy -3.185 eV/atom. Number 7: final energy -3.946 eV/atom. Number 8: final energy -6.141 eV/atom. Number 9: final energy -3.238 eV/atom. Number 10: final energy -7.073 eV/atom. Number 11: final energy -4.555 eV/atom. Number 12: final energy -6.088 eV/atom. Number 13: final energy -7.405 eV/atom. Number 14: final energy -4.021 eV/atom. Number 15: final energy -4.729 eV/atom. Number 16: final energy -2.954 eV/atom. Number 17: final energy -3.465 eV/atom. Number 18: final energy -4.260 eV/atom. Number 19: final energy -4.472 eV/atom. Number 20: final energy -4.551 eV/atom.